4
Lattice="3.2307 0.0000 0.0000 0.0000 3.2307 0.0000 0.0000 0.0000 5.6076" Properties=species:S:1:pos:R:3 comment="Fe2CuSb (GGA-PBE, optimized geometry)" magnetic_moment_mub_per_fu=4.84 crystal_system=tetragonal raw_formation_energy_ev_per_atom=0.2181 spacegroup=P4mm pbc="T T T"
Fe 0.0000 0.0000 0.0000
Fe 1.6153 1.6153 1.2092
Cu 1.6153 1.6153 4.3371
Sb 0.0000 0.0000 2.7334

4
Lattice="-1.9223 1.9277 3.7721 1.9223 -1.9277 3.7721 1.9223 1.9277 -3.7721" Properties=species:S:1:pos:R:3 comment="Fe2CuSb (GGA-PBE, optimized geometry)" magnetic_moment_mub_per_fu=4.48 crystal_system=orthorhombic raw_formation_energy_ev_per_atom=0.1791 spacegroup=Imm2 pbc="T T T"
Fe 0.0000 0.0000 0.0000
Fe 0.0000 1.9277 1.8906
Cu 1.9223 0.0000 1.8861
Sb 0.0000 0.0000 3.7745

4
Lattice="3.3719 0.0000 0.0000 0.0000 3.3719 0.0000 0.0000 0.0000 5.3319" Properties=species:S:1:pos:R:3 comment="FeCu2Sb (GGA-PBE, optimized geometry)" magnetic_moment_mub_per_fu=2.65 crystal_system=tetragonal raw_formation_energy_ev_per_atom=0.2807 spacegroup=P4/mmm pbc="T T T"
Fe 0.0000 0.0000 0.0000
Cu 1.6859 1.6859 1.2129
Cu 1.6859 1.6859 4.1190
Sb 0.0000 0.0000 2.6660

6
Lattice="0.0000 3.4850 3.4850 3.4850 0.0000 3.4850 3.4850 3.4850 0.0000" Properties=species:S:1:pos:R:3 comment="FeCu4Sb (GGA-PBE, optimized geometry)" magnetic_moment_mub_per_fu=2.99 crystal_system=cubic raw_formation_energy_ev_per_atom=0.2264 spacegroup=F-43m pbc="T T T"
Fe 0.0000 0.0000 0.0000
Cu 2.6088 2.6088 2.6088
Cu 4.3611 4.3611 2.6088
Cu 4.3611 2.6088 4.3611
Cu 2.6088 4.3611 4.3611
Sb 5.2274 5.2274 5.2274